[1]
VASP calculation (PBE-GGA) on crystalline Ga4AuS7 at its relaxed geometry.

POSCAR file:
```
Ga4AuS7
1.0
14.528 0.000 0.000
0.000 6.660 0.000
0.000 0.000 6.246
Ga Au S
8 2 14
Direct
0.128 0.171 0.000
0.244 0.329 0.476
0.256 0.671 0.976
0.372 0.829 0.500
0.628 0.829 0.500
0.744 0.671 0.976
0.756 0.329 0.476
0.872 0.171 0.000
0.000 0.650 0.878
0.500 0.350 0.378
0.000 0.296 0.826
0.117 0.168 0.359
0.135 0.855 0.840
0.245 0.660 0.352
0.255 0.340 0.852
0.365 0.145 0.340
0.383 0.832 0.859
0.500 0.704 0.326
0.617 0.832 0.859
0.635 0.145 0.340
0.745 0.340 0.852
0.755 0.660 0.352
0.865 0.855 0.840
0.883 0.168 0.359
```

## Properties
VASP energy   -4.164 eV/atom
Energy relative to the elements, uncorrected   -0.4745 eV per atom
Symmetry   Pmn2_1 (31)

***

[2]
VASP calculation (PBE-GGA) on crystalline GaAuS2 at its relaxed geometry.

POSCAR file:
```
GaAuS2
1.0
5.625 -3.195 0.000
5.625 3.195 0.000
-5.295 0.000 5.759
Ga Au S
2 2 4
Direct
0.141 0.141 0.008
0.859 0.859 0.992
0.217 0.434 0.779
0.566 0.783 0.221
0.192 0.090 0.307
0.466 0.197 0.012
0.803 0.534 0.988
0.910 0.808 0.693
```

## Properties
VASP energy   -3.981 eV/atom
Energy relative to the elements, uncorrected   -0.3409 eV per atom
Symmetry   C2 (5)

***

> What is the VASP energy in the second record?

-3.981 eV/atom

***

> Which of these has the lowest energy relative to the elements, uncorrected?

Ga4AuS7